# 1
The following is a DFT calculation (PBE) of a relaxed CaTbNp2As4 crystal.

Computed properties:
For the energy of formation, the calculation gives -0.976 eV/atom. Its total energy is -58.923 eV/cell.

a b c (Å): 4.1373 7.1917 7.1813
angles (deg): 109.38 90.00 90.00
Last column: nearest neighbours and their distance in Å.
Fractional positions:
Ca1 0.5000 0.5000 0.0000  6 As 2.98-2.99
Np1 0.5000 0.0000 0.5000  6 As 2.87-2.89
Np2 0.0000 0.5000 0.5000  6 As 2.91
As1 0.5000 0.7510 0.7429  3 Np 2.89-2.91, 2 Tb 2.95, 1 Ca 2.98
As2 0.0000 0.2415 0.7373  3 Np 2.87-2.91, 1 Tb 2.96, 2 Ca 2.99
As3 0.5000 0.2490 0.2571  3 Np 2.89-2.91, 2 Tb 2.95, 1 Ca 2.98
As4 0.0000 0.7585 0.2627  3 Np 2.87-2.91, 1 Tb 2.96, 2 Ca 2.99
Tb1 0.0000 0.0000 0.0000  6 As 2.95-2.96

***

# 2
The following is a DFT calculation (PBE) of a relaxed Ba2BiF crystal.

Computed properties:
The calculation puts the formation energy (no corrections) at -1.888 eV/atom. Its total energy is -17.150 eV/cell. The value obtained for the energy above the most stable polymorph in this dataset is 6.7 kJ/mol of atoms.

a b c (Å): 5.4279 5.4279 8.9370
angles (deg): 72.32 72.32 60.00
Last column: nearest neighbours and their distance in Å.
Fractional positions:
F1 0.0000 0.0000 0.0000  2 Ba 2.47
Bi1 0.5000 0.5000 0.5000  6 Ba 3.57
Ba1 0.0985 0.0985 0.7046  1 F 2.47
Ba2 0.9015 0.9015 0.2954  1 F 2.47

***

# 3
The following is a DFT calculation (PBE) of a relaxed BaGa2Fe2 crystal.

Computed properties:
For the energy of formation, the calculation gives -0.017 eV/atom. Its total energy is -24.988 eV/cell.

a b c (Å): 3.8588 3.8588 7.4831
angles (deg): 75.06 75.06 90.00
Last column: nearest neighbours and their distance in Å.
Fractional positions:
Fe1 0.7500 0.2500 0.5000  4 Ga 2.46, 4 Fe 2.73
Fe2 0.2500 0.7500 0.5000  4 Ga 2.46, 4 Fe 2.73
Ga1 0.6409 0.6409 0.7181  4 Fe 2.46
Ga2 0.3591 0.3591 0.2819  4 Fe 2.46
Ba1 0.0000 0.0000 0.0000  8 Ga 3.36

***

# 4
The following is a DFT calculation (PBE) of a relaxed CsBaPCl2 crystal.

Computed properties:
The calculation puts the formation energy (no corrections) at -1.213 eV/atom. Its total energy is -17.943 eV/cell. The value obtained for the energy above the most stable polymorph in this dataset is 0.0 kJ/mol of atoms.

a b c (Å): 6.0661 6.0661 6.4850
angles (deg): 90.00 90.00 90.00
Last column: nearest neighbours and their distance in Å.
Fractional positions:
Cl1 0.0000 0.5000 0.0000  2 Ba 3.03
Cl2 0.5000 0.0000 0.0000  2 Ba 3.03
Cs1 0.5000 0.5000 0.5000  4 P 4.29, 8 Cl 4.44
Ba1 0.0000 0.0000 0.0000  4 Cl 3.03, 2 P 3.24
P1 0.0000 0.0000 0.5000  2 Ba 3.24